Record 1
{
  "formula": "NaNdTlRh",
  "functional": "PBE",
  "state": "optimized geometry",
  "delta_e_f_ev_per_atom": -0.177,
  "cell": [[-2.742, -2.679, -3.221], [0.357, -4.994, -0.041], [-3.803, -2.795, 1.671]],
  "species": ["Tl", "Rh", "Nd", "Na"],
  "frac_coords": [[0.250, 0.250, 0.250], [0.500, 0.500, 0.500], [0.750, 0.750, 0.750], [0.000, 0.000, 0.000]]
}

Record 2
{
  "formula": "NaNd3Ru",
  "functional": "PBE",
  "state": "optimized geometry",
  "delta_e_f_ev_per_atom": 0.016,
  "cell": [[5.585, 0.000, 0.000], [0.000, 5.585, 0.000], [0.000, 0.000, 5.585]],
  "species": ["Nd", "Nd", "Nd", "Ru", "Na"],
  "frac_coords": [[0.500, 0.000, 0.000], [0.000, 0.500, 0.000], [0.000, 0.000, 0.500], [0.000, 0.000, 0.000], [0.500, 0.500, 0.500]]
}

Record 3
{
  "formula": "NaNdS2",
  "functional": "PBE",
  "state": "optimized geometry",
  "formation_energy_uncorrected_ev_per_atom": -1.70,
  "cell": [[4.124, 0.000, 0.000], [0.000, 4.124, 0.000], [0.000, 0.000, 5.603]],
  "species": ["S", "S", "Na", "Nd"],
  "frac_coords": [[0.000, 0.000, 0.500], [0.500, 0.500, 0.000], [0.000, 0.000, 0.000], [0.500, 0.500, 0.500]]
}

Record 4
{
  "formula": "NaNdS",
  "functional": "PBE",
  "state": "optimized geometry",
  "formation_energy_uncorrected_ev_per_atom": -0.92,
  "cell": [[3.929, 0.000, 0.000], [0.000, 9.423, 0.310], [-1.964, -0.680, 10.270]],
  "species": ["S", "S", "S", "S", "Na", "Na", "Na", "Na", "Nd", "Nd", "Nd", "Nd"],
  "frac_coords": [[0.432, 0.132, 0.865], [0.917, 0.630, 0.835], [0.568, 0.868, 0.135], [0.083, 0.370, 0.165], [0.300, 0.099, 0.601], [0.266, 0.646, 0.532], [0.700, 0.901, 0.399], [0.734, 0.354, 0.468], [0.564, 0.163, 0.127], [0.436, 0.837, 0.873], [0.415, 0.421, 0.830], [0.585, 0.579, 0.170]]
}

Record 5
{
  "formula": "NaNd4S6",
  "functional": "PBE",
  "state": "optimized geometry",
  "formation_energy_uncorrected_ev_per_atom": -1.90,
  "cell": [[4.049, 0.000, 0.000], [-2.025, 6.795, 0.000], [0.000, 0.000, 21.010]],
  "species": ["S", "S", "S", "S", "S", "S", "S", "S", "S", "S", "S", "S", "Nd", "Nd", "Nd", "Nd", "Nd", "Nd", "Nd", "Nd", "Na", "Na"],
  "frac_coords": [[0.966, 0.931, 0.661], [0.500, 0.000, 0.500], [0.701, 0.402, 0.750], [0.500, 0.000, 0.000], [0.034, 0.069, 0.339], [0.034, 0.069, 0.161], [0.226, 0.452, 0.579], [0.299, 0.598, 0.250], [0.966, 0.931, 0.839], [0.774, 0.548, 0.421], [0.774, 0.548, 0.079], [0.226, 0.452, 0.921], [0.603, 0.206, 0.640], [0.397, 0.794, 0.360], [0.397, 0.794, 0.140], [0.869, 0.738, 0.954], [0.869, 0.738, 0.546], [0.131, 0.262, 0.454], [0.603, 0.206, 0.860], [0.131, 0.262, 0.046], [0.349, 0.697, 0.750], [0.651, 0.303, 0.250]]
}

Record 6
{
  "formula": "NaNdS2",
  "functional": "PBE",
  "state": "optimized geometry",
  "formation_energy_uncorrected_ev_per_atom": -1.79,
  "cell": [[7.111, 0.005, 0.003], [5.907, 3.959, 0.003], [5.907, 1.798, 3.527]],
  "species": ["S", "S", "Na", "Nd"],
  "frac_coords": [[0.744, 0.744, 0.744], [0.256, 0.256, 0.256], [0.500, 0.500, 0.500], [0.000, 0.000, 0.000]]
}

What did the sixth record say?
{
  "formula": "NaNdS2",
  "functional": "PBE",
  "state": "optimized geometry",
  "formation_energy_uncorrected_ev_per_atom": -1.79,
  "cell": [[7.111, 0.005, 0.003], [5.907, 3.959, 0.003], [5.907, 1.798, 3.527]],
  "species": ["S", "S", "Na", "Nd"],
  "frac_coords": [[0.744, 0.744, 0.744], [0.256, 0.256, 0.256], [0.500, 0.500, 0.500], [0.000, 0.000, 0.000]]
}